(1)
Here is a relaxed Mo5P3 crystal from Alexandria. Energies are from PBE.

Structure (CIF):
```
data_Mo5P3
_symmetry_space_group_name_H-M 'C 1 m 1'
_symmetry_Int_Tables_number 8
_cell_length_a 5.3515
_cell_length_b 13.1143
_cell_length_c 7.0739
_cell_angle_alpha 90.00
_cell_angle_beta 112.11
_cell_angle_gamma 90.00
loop_
_symmetry_equiv_pos_as_xyz
'x,y,z'
'x,-y,z'
'x+1/2,y+1/2,z'
'x+1/2,-y+1/2,z'
loop_
_atom_site_label
_atom_site_type_symbol
_atom_site_fract_x
_atom_site_fract_y
_atom_site_fract_z
_atom_site_occupancy
Mo1 Mo 0.0000 0.0000 0.0000 1
Mo2 Mo 0.0011 0.5000 0.0009 1
Mo3 Mo 0.1156 0.3923 0.6483 1
Mo4 Mo 0.1824 0.1752 0.7851 1
Mo5 Mo 0.4009 0.1754 0.2145 1
Mo6 Mo 0.4676 0.3925 0.3521 1
P1 P 0.0427 0.0000 0.6635 1
P2 P 0.2125 0.3318 0.0000 1
P3 P 0.2891 0.2497 0.5003 1
P4 P 0.3801 0.0000 0.3361 1
```

Properties
Magnetic moment: 0.00 μB per cell
Energy above the most stable polymorph in this dataset: 0 meV/atom
Crystal system: monoclinic
ΔE_f: -0.380 eV per atom

(2)
Here is a relaxed Mo5P crystal from Alexandria. Energies are from PBE.

Structure (CIF):
```
data_Mo5P
_symmetry_space_group_name_H-M 'P 6/m m m'
_symmetry_Int_Tables_number 191
_symmetry_space_group_name_Hall '-P 6 2'
_cell_length_a 4.9814
_cell_length_b 4.9814
_cell_length_c 4.8450
_cell_angle_alpha 90.00
_cell_angle_beta 90.00
_cell_angle_gamma 120.00
loop_
_atom_site_label
_atom_site_type_symbol
_atom_site_fract_x
_atom_site_fract_y
_atom_site_fract_z
_atom_site_occupancy
Mo1 Mo 0.0000 0.5000 0.0000 1
Mo2 Mo 0.3333 0.6667 0.5000 1
P1 P 0.0000 0.0000 0.5000 1
```

Properties
Magnetic moment: 0.00 μB per cell
Energy above the most stable polymorph in this dataset: 772 meV/atom
Crystal system: hexagonal
ΔE_f: 0.710 eV per atom

(3)
Here is a relaxed Mo5P crystal from Alexandria. Energies are from PBE.

Structure (CIF):
```
data_Mo5P
_symmetry_space_group_name_H-M 'C m m m'
_symmetry_Int_Tables_number 65
_symmetry_space_group_name_Hall '-C 2 2'
_cell_length_a 3.1685
_cell_length_b 12.9589
_cell_length_c 4.4052
_cell_angle_alpha 90.00
_cell_angle_beta 90.00
_cell_angle_gamma 90.00
loop_
_atom_site_label
_atom_site_type_symbol
_atom_site_fract_x
_atom_site_fract_y
_atom_site_fract_z
_atom_site_occupancy
Mo1 Mo 0.0000 0.0000 0.0000 1
Mo2 Mo 0.0000 0.1622 0.5000 1
Mo3 Mo 0.0000 0.3347 0.0000 1
P1 P 0.0000 0.5000 0.5000 1
```

Properties
Magnetic moment: 0.00 μB per cell
Energy above the most stable polymorph in this dataset: 23 meV/atom
Crystal system: orthorhombic
ΔE_f: -0.039 eV per atom

(4)
Here is a relaxed Mo3P2 crystal from Alexandria. Energies are from PBE.

Structure (CIF):
```
data_Mo3P2
_symmetry_space_group_name_H-M 'F d d d'
_symmetry_Int_Tables_number 70
_cell_length_a 4.9073
_cell_length_b 8.7641
_cell_length_c 13.4412
_cell_angle_alpha 90.00
_cell_angle_beta 90.00
_cell_angle_gamma 90.00
loop_
_symmetry_equiv_pos_as_xyz
'x,y,z'
'-x,-y,-z'
'-x+1/4,-y+1/4,z'
'x+1/4,y+1/4,-z'
'x,-y+1/4,-z+1/4'
'-x,y+1/4,z+1/4'
'-x+1/4,y,-z+1/4'
'x+1/4,-y,z+1/4'
'x,y+1/2,z+1/2'
'-x,-y+1/2,-z+1/2'
'-x+1/4,-y+3/4,z+1/2'
'x+1/4,y+3/4,-z+1/2'
'x,-y+3/4,-z+3/4'
'-x,y+3/4,z+3/4'
'-x+1/4,y+1/2,-z+3/4'
'x+1/4,-y+1/2,z+3/4'
'x+1/2,y,z+1/2'
'-x+1/2,-y,-z+1/2'
'-x+3/4,-y+1/4,z+1/2'
'x+3/4,y+1/4,-z+1/2'
'x+1/2,-y+1/4,-z+3/4'
'-x+1/2,y+1/4,z+3/4'
'-x+3/4,y,-z+3/4'
'x+3/4,-y,z+3/4'
'x+1/2,y+1/2,z'
'-x+1/2,-y+1/2,-z'
'-x+3/4,-y+3/4,z'
'x+3/4,y+3/4,-z'
'x+1/2,-y+3/4,-z+1/4'
'-x+1/2,y+3/4,z+1/4'
'-x+3/4,y+1/2,-z+1/4'
'x+3/4,-y+1/2,z+1/4'
loop_
_atom_site_label
_atom_site_type_symbol
_atom_site_fract_x
_atom_site_fract_y
_atom_site_fract_z
_atom_site_occupancy
Mo1 Mo 0.1250 0.1250 0.0036 1
Mo2 Mo 0.1250 0.1250 0.6250 1
P1 P 0.1250 0.1250 0.4353 1
```

Properties
Magnetic moment: 0.00 μB per cell
Energy above the most stable polymorph in this dataset: 347 meV/atom
Crystal system: orthorhombic
ΔE_f: -0.169 eV per atom